[1]
Density functional theory data (GGA-PBE) for crystalline Mg3ZrBe at its relaxed geometry.

It has space group Pm-3m (No. 221), with a = 4.6489 Å, b = 4.6489 Å, c = 4.6489 Å, α = 90.00°, β = 90.00° and γ = 90.00°. The inequivalent atoms are Mg at (0.0000, 0.0000, 0.5000), Zr at (0.5000, 0.5000, 0.5000) and Be at (0.0000, 0.0000, 0.0000).

As for the calculated volume: 100 Å³/cell. As for the formation energy from the elements: 0.43 eV per atom. The calculation puts the energy above the most stable polymorph in this dataset at 0 meV/atom. Its uncorrected energy is -0.109 Ha/atom.

[2]
Density functional theory data (GGA-PBE) for crystalline Mg4PaRh5 at its relaxed geometry.

It has space group P4/mmm (No. 123), with a = 3.2540 Å, b = 3.2540 Å, c = 15.5924 Å, α = 90.00°, β = 90.00° and γ = 90.00°. The inequivalent atoms are Mg at (0.0000, 0.0000, 0.0956), Mg at (0.0000, 0.0000, 0.2835), Pa at (0.0000, 0.0000, 0.5000), Rh at (0.5000, 0.5000, 0.0000), Rh at (0.5000, 0.5000, 0.1943) and Rh at (0.5000, 0.5000, 0.3910).

As for the calculated volume: 165 Å³/cell. As for the formation energy from the elements: -0.54 eV per atom. Its uncorrected energy is -0.213 Ha/atom.